(1)
# PtBr2Cl, optimized geometry, DFT PBE
# - Relative energy among the computed polymorphs: 223.5 meV/atom
# - Size of the total moment: 0.22 μB per formula unit
# - Crystal system: monoclinic
data_PtBr2Cl
_space_group_name_H-M_alt 'C 1 m 1'
_space_group_IT_number 8
_space_group_name_Hall 'C -2y'
_cell_length_a 12.712
_cell_length_b 3.364
_cell_length_c 8.043
_cell_angle_alpha 90.00
_cell_angle_beta 127.53
_cell_angle_gamma 90.00
loop_
_atom_site_label
_atom_site_type_symbol
_atom_site_fract_x
_atom_site_fract_y
_atom_site_fract_z
Pt1 Pt 0.000 0.000 0.000
Br1 Br 0.006 0.500 0.505
Br2 Br 0.328 0.000 0.833
Cl1 Cl 0.158 0.500 0.153

(2)
# Pt2BrCl, optimized geometry, DFT PBE
# - Relative energy among the computed polymorphs: 570.7 meV/atom
# - Size of the total moment: 0.59 μB per formula unit
# - Crystal system: orthorhombic
data_Pt2BrCl
_space_group_name_H-M_alt 'I m m 2'
_space_group_IT_number 44
_space_group_name_Hall 'I 2 -2'
_cell_length_a 2.896
_cell_length_b 8.037
_cell_length_c 9.819
_cell_angle_alpha 90.00
_cell_angle_beta 90.00
_cell_angle_gamma 90.00
loop_
_atom_site_label
_atom_site_type_symbol
_atom_site_fract_x
_atom_site_fract_y
_atom_site_fract_z
Pt1 Pt 0.000 0.000 0.000
Pt2 Pt 0.000 0.500 0.281
Br1 Br 0.000 0.500 0.712
Cl1 Cl 0.000 0.000 0.590

(3)
# Pt2BrCl, optimized geometry, DFT PBE
# - Relative energy among the computed polymorphs: 702.5 meV/atom
# - Size of the total moment: 0.00 μB per formula unit
# - Crystal system: monoclinic
data_Pt2BrCl
_space_group_name_H-M_alt 'C 1 2/m 1'
_space_group_IT_number 12
_space_group_name_Hall '-C 2y'
_cell_length_a 6.362
_cell_length_b 8.123
_cell_length_c 3.068
_cell_angle_alpha 90.00
_cell_angle_beta 90.23
_cell_angle_gamma 90.00
loop_
_atom_site_label
_atom_site_type_symbol
_atom_site_fract_x
_atom_site_fract_y
_atom_site_fract_z
Pt1 Pt 0.250 0.250 0.000
Br1 Br 0.000 0.000 0.000
Cl1 Cl 0.000 0.500 0.000

(4)
# Pt2Br4Cl3, optimized geometry, DFT PBE
# - Final energy: -25.486 eV per formula unit
# - Size of the total moment: 0.00 μB per formula unit
# - Crystal system: monoclinic
data_Pt2Br4Cl3
_space_group_name_H-M_alt 'C 1 2/c 1'
_space_group_IT_number 15
_space_group_name_Hall '-C 2yc'
_cell_length_a 9.631
_cell_length_b 17.488
_cell_length_c 8.044
_cell_angle_alpha 90.00
_cell_angle_beta 116.99
_cell_angle_gamma 90.00
loop_
_atom_site_label
_atom_site_type_symbol
_atom_site_fract_x
_atom_site_fract_y
_atom_site_fract_z
Pt1 Pt 0.193 0.165 0.343
Br1 Br 0.132 0.223 0.594
Br2 Br 0.247 0.128 0.087
Cl1 Cl 0.000 0.070 0.250
Cl2 Cl 0.101 0.409 0.430

(5)
# Pt2BrCl, optimized geometry, DFT PBE
# - Relative energy among the computed polymorphs: 751.0 meV/atom
# - Size of the total moment: 0.00 μB per formula unit
# - Crystal system: orthorhombic
data_Pt2BrCl
_space_group_name_H-M_alt 'C m m m'
_space_group_IT_number 65
_space_group_name_Hall '-C 2 2'
_cell_length_a 3.031
_cell_length_b 6.015
_cell_length_c 8.413
_cell_angle_alpha 90.00
_cell_angle_beta 90.00
_cell_angle_gamma 90.00
loop_
_atom_site_label
_atom_site_type_symbol
_atom_site_fract_x
_atom_site_fract_y
_atom_site_fract_z
Pt1 Pt 0.000 0.000 0.245
Br1 Br 0.000 0.500 0.500
Cl1 Cl 0.000 0.500 0.000

(6)
# PtBr2Cl, optimized geometry, DFT PBE
# - Relative energy among the computed polymorphs: 0.0 meV/atom
# - Size of the total moment: 0.00 μB per formula unit
# - Crystal system: orthorhombic
data_PtBr2Cl
_space_group_name_H-M_alt 'C m m m'
_space_group_IT_number 65
_space_group_name_Hall '-C 2 2'
_cell_length_a 5.134
_cell_length_b 12.717
_cell_length_c 3.706
_cell_angle_alpha 90.00
_cell_angle_beta 90.00
_cell_angle_gamma 90.00
loop_
_atom_site_label
_atom_site_type_symbol
_atom_site_fract_x
_atom_site_fract_y
_atom_site_fract_z
Pt1 Pt 0.000 0.000 0.000
Br1 Br 0.000 0.132 0.500
Cl1 Cl 0.000 0.500 0.000

no.,D(E_F) (states/eV/cell)
1,10.96
2,14.42
3,4.59
4,16.39
5,7.01
6,1.94